VASP calculation (GGA+U) on an optimized crystal structure of Al2InWO8.

Lattice parameters (Å, degrees): 4.6140 4.6140 6.1606 90.00 90.00 90.24
Fractional positions:
Al (0.0000, 0.0000, 0.2495)
Al (0.0000, 0.0000, 0.7505)
In (0.5000, 0.5000, 0.0000)
W (0.5000, 0.5000, 0.5000)
O (0.1784, 0.1784, 0.0000)
O (0.1964, 0.1964, 0.5000)
O (0.2906, 0.7094, 0.2776)
O (0.2906, 0.7094, 0.7224)
O (0.7094, 0.2906, 0.2776)
O (0.7094, 0.2906, 0.7224)
O (0.8036, 0.8036, 0.5000)
O (0.8216, 0.8216, 0.0000)

## Properties
Energy = -82.4 eV/cell
D(E_F) = 5.99 states/eV/f.u.